# LiPdI3 | the Alexandria database | GGA-PBE | relaxed
data_LiPdI3
_cell_length_a 7.671
_cell_length_b 4.472
_cell_length_c 10.692
_cell_angle_alpha 90.00
_cell_angle_beta 106.99
_cell_angle_gamma 90.00
_symmetry_space_group_name_H-M 'P 1'
_symmetry_Int_Tables_number 1
loop_
_symmetry_equiv_pos_as_xyz
'x,y,z'
loop_
_atom_site_label
_atom_site_fract_x
_atom_site_fract_y
_atom_site_fract_z
Li1 0.101 0.250 0.365
Li2 0.899 0.750 0.635
Pd1 0.490 0.250 0.842
Pd2 0.510 0.750 0.158
I1 0.167 0.250 0.645
I2 0.320 0.250 0.028
I3 0.321 0.750 0.329
I4 0.679 0.250 0.671
I5 0.680 0.750 0.972
I6 0.833 0.750 0.355
# **Formation energy (no corrections)**: -0.491 eV per atom
# **Space group**: No. 11
# **E**: -2.84 eV/atom
# **Magnetic moment**: 0.00 μB/atom
# **ΔE to the lowest computed polymorph**: 0.0 kJ per mole of atoms

***

# LiPd2I | the Alexandria database | GGA-PBE | relaxed
data_LiPd2I
_cell_length_a 4.647
_cell_length_b 4.647
_cell_length_c 4.647
_cell_angle_alpha 60.00
_cell_angle_beta 60.00
_cell_angle_gamma 60.00
_symmetry_space_group_name_H-M 'P 1'
_symmetry_Int_Tables_number 1
loop_
_symmetry_equiv_pos_as_xyz
'x,y,z'
loop_
_atom_site_label
_atom_site_fract_x
_atom_site_fract_y
_atom_site_fract_z
Li1 0.000 0.000 0.000
Pd1 0.250 0.250 0.250
Pd2 0.750 0.750 0.750
I1 0.500 0.500 0.500
# **Formation energy (no corrections)**: -0.141 eV per atom
# **Space group**: No. 225
# **E**: -3.60 eV/atom
# **Magnetic moment**: 0.00 μB/atom
# **ΔE to the lowest computed polymorph**: 3.1 kJ per mole of atoms

***

# LiPd2I | the Alexandria database | GGA-PBE | relaxed
data_LiPd2I
_cell_length_a 9.886
_cell_length_b 9.886
_cell_length_c 9.886
_cell_angle_alpha 156.62
_cell_angle_beta 156.62
_cell_angle_gamma 33.30
_symmetry_space_group_name_H-M 'P 1'
_symmetry_Int_Tables_number 1
loop_
_symmetry_equiv_pos_as_xyz
'x,y,z'
loop_
_atom_site_label
_atom_site_fract_x
_atom_site_fract_y
_atom_site_fract_z
Li1 0.000 0.000 0.000
Li2 0.750 0.250 0.500
Pd1 0.121 0.625 0.996
Pd2 0.375 0.371 0.496
Pd3 0.629 0.125 0.004
Pd4 0.875 0.879 0.504
I1 0.250 0.750 0.500
I2 0.500 0.500 0.000
# **Formation energy (no corrections)**: -0.172 eV per atom
# **Space group**: No. 122
# **E**: -3.63 eV/atom
# **Magnetic moment**: 0.00 μB/atom
# **ΔE to the lowest computed polymorph**: 0.0 kJ per mole of atoms

***

# LiPd2PtI | the Alexandria database | GGA-PBE | relaxed
data_LiPd2PtI
_cell_length_a 5.008
_cell_length_b 5.008
_cell_length_c 5.024
_cell_angle_alpha 90.00
_cell_angle_beta 90.00
_cell_angle_gamma 90.00
_symmetry_space_group_name_H-M 'P 1'
_symmetry_Int_Tables_number 1
loop_
_symmetry_equiv_pos_as_xyz
'x,y,z'
loop_
_atom_site_label
_atom_site_fract_x
_atom_site_fract_y
_atom_site_fract_z
Li1 0.000 0.000 0.000
Pd1 0.000 0.500 0.500
Pd2 0.500 0.000 0.500
Pt1 0.500 0.500 0.000
I1 0.500 0.500 0.500
# **Formation energy (no corrections)**: 0.422 eV per atom
# **Space group**: No. 123
# **E**: -3.56 eV/atom
# **Magnetic moment**: 0.00 μB/atom

***

# Rb2LiPdI6 | the Alexandria database | GGA-PBE | relaxed
data_Rb2LiPdI6
_cell_length_a 14.750
_cell_length_b 14.750
_cell_length_c 14.750
_cell_angle_alpha 31.45
_cell_angle_beta 31.45
_cell_angle_gamma 31.45
_symmetry_space_group_name_H-M 'P 1'
_symmetry_Int_Tables_number 1
loop_
_symmetry_equiv_pos_as_xyz
'x,y,z'
loop_
_atom_site_label
_atom_site_fract_x
_atom_site_fract_y
_atom_site_fract_z
Rb1 0.119 0.119 0.119
Rb2 0.300 0.300 0.300
Rb3 0.700 0.700 0.700
Rb4 0.881 0.881 0.881
Li1 0.422 0.422 0.422
Li2 0.578 0.578 0.578
Pd1 0.000 0.000 0.000
Pd2 0.500 0.500 0.500
I1 0.132 0.627 0.627
I2 0.202 0.202 0.711
I3 0.202 0.711 0.202
I4 0.289 0.798 0.798
I5 0.373 0.373 0.868
I6 0.373 0.868 0.373
I7 0.627 0.132 0.627
I8 0.627 0.627 0.132
I9 0.711 0.202 0.202
I10 0.798 0.289 0.798
I11 0.798 0.798 0.289
I12 0.868 0.373 0.373
# **Formation energy (no corrections)**: -0.855 eV per atom
# **Space group**: No. 166
# **E**: -2.69 eV/atom
# **Magnetic moment**: 0.00 μB/atom
# **ΔE to the lowest computed polymorph**: 0.0 kJ per mole of atoms

***

# Rb2LiPdI6 | the Alexandria database | GGA-PBE | relaxed
data_Rb2LiPdI6
_cell_length_a 8.131
_cell_length_b 8.131
_cell_length_c 8.131
_cell_angle_alpha 119.91
_cell_angle_beta 119.91
_cell_angle_gamma 90.15
_symmetry_space_group_name_H-M 'P 1'
_symmetry_Int_Tables_number 1
loop_
_symmetry_equiv_pos_as_xyz
'x,y,z'
loop_
_atom_site_label
_atom_site_fract_x
_atom_site_fract_y
_atom_site_fract_z
Rb1 0.250 0.750 0.500
Rb2 0.750 0.250 0.500
Li1 0.000 0.000 0.000
Pd1 0.500 0.500 0.000
I1 0.258 0.258 0.000
I2 0.258 0.258 0.517
I3 0.258 0.742 0.000
I4 0.742 0.258 0.000
I5 0.742 0.742 0.000
I6 0.742 0.742 0.483
# **Formation energy (no corrections)**: -0.832 eV per atom
# **Space group**: No. 139
# **E**: -2.67 eV/atom
# **Magnetic moment**: 0.00 μB/atom
# **ΔE to the lowest computed polymorph**: 2.2 kJ per mole of atoms

***

# LiRePd2I | the Alexandria database | GGA-PBE | relaxed
data_LiRePd2I
_cell_length_a 5.058
_cell_length_b 5.058
_cell_length_c 4.701
_cell_angle_alpha 90.00
_cell_angle_beta 90.00
_cell_angle_gamma 90.00
_symmetry_space_group_name_H-M 'P 1'
_symmetry_Int_Tables_number 1
loop_
_symmetry_equiv_pos_as_xyz
'x,y,z'
loop_
_atom_site_label
_atom_site_fract_x
_atom_site_fract_y
_atom_site_fract_z
Li1 0.000 0.000 0.000
Re1 0.500 0.500 0.000
Pd1 0.000 0.500 0.500
Pd2 0.500 0.000 0.500
I1 0.000 0.000 0.500
# **Formation energy (no corrections)**: 1.308 eV per atom
# **Space group**: No. 123
# **E**: -3.95 eV/atom
# **Magnetic moment**: 0.96 μB/atom

***

# LiPdRu2I | the Alexandria database | GGA-PBE | relaxed
data_LiPdRu2I
_cell_length_a 4.405
_cell_length_b 4.405
_cell_length_c 4.174
_cell_angle_alpha 90.00
_cell_angle_beta 90.00
_cell_angle_gamma 90.00
_symmetry_space_group_name_H-M 'P 1'
_symmetry_Int_Tables_number 1
loop_
_symmetry_equiv_pos_as_xyz
'x,y,z'
loop_
_atom_site_label
_atom_site_fract_x
_atom_site_fract_y
_atom_site_fract_z
Li1 0.000 0.000 0.000
Pd1 0.000 0.000 0.500
Ru1 0.000 0.500 0.000
Ru2 0.500 0.000 0.000
I1 0.500 0.500 0.500
# **Formation energy (no corrections)**: 1.125 eV per atom
# **Space group**: No. 123
# **E**: -4.32 eV/atom
# **Magnetic moment**: 0.18 μB/atom

***

# LiSbPdI2 | the Alexandria database | GGA-PBE | relaxed
data_LiSbPdI2
_cell_length_a 5.792
_cell_length_b 5.792
_cell_length_c 5.093
_cell_angle_alpha 90.00
_cell_angle_beta 90.00
_cell_angle_gamma 90.00
_symmetry_space_group_name_H-M 'P 1'
_symmetry_Int_Tables_number 1
loop_
_symmetry_equiv_pos_as_xyz
'x,y,z'
loop_
_atom_site_label
_atom_site_fract_x
_atom_site_fract_y
_atom_site_fract_z
Li1 0.000 0.000 0.000
Sb1 0.500 0.500 0.000
Pd1 0.500 0.500 0.500
I1 0.000 0.500 0.500
I2 0.500 0.000 0.500
# **Formation energy (no corrections)**: -0.066 eV per atom
# **Space group**: No. 123
# **E**: -2.93 eV/atom
# **Magnetic moment**: 0.12 μB/atom
# **ΔE to the lowest computed polymorph**: 0.0 kJ per mole of atoms

***

# Li2PdSeI | the Alexandria database | GGA-PBE | relaxed
data_Li2PdSeI
_cell_length_a 5.014
_cell_length_b 5.014
_cell_length_c 5.119
_cell_angle_alpha 90.00
_cell_angle_beta 90.00
_cell_angle_gamma 90.00
_symmetry_space_group_name_H-M 'P 1'
_symmetry_Int_Tables_number 1
loop_
_symmetry_equiv_pos_as_xyz
'x,y,z'
loop_
_atom_site_label
_atom_site_fract_x
_atom_site_fract_y
_atom_site_fract_z
Li1 0.000 0.500 0.000
Li2 0.500 0.000 0.000
Pd1 0.000 0.000 0.500
Se1 0.500 0.500 0.500
I1 0.000 0.000 0.000
# **Formation energy (no corrections)**: -0.192 eV per atom
# **Space group**: No. 123
# **E**: -3.00 eV/atom
# **Magnetic moment**: 0.00 μB/atom

***

# LiTcPdI2 | the Alexandria database | GGA-PBE | relaxed
data_LiTcPdI2
_cell_length_a 5.226
_cell_length_b 5.226
_cell_length_c 4.502
_cell_angle_alpha 90.00
_cell_angle_beta 90.00
_cell_angle_gamma 90.00
_symmetry_space_group_name_H-M 'P 1'
_symmetry_Int_Tables_number 1
loop_
_symmetry_equiv_pos_as_xyz
'x,y,z'
loop_
_atom_site_label
_atom_site_fract_x
_atom_site_fract_y
_atom_site_fract_z
Li1 0.000 0.000 0.000
Tc1 0.500 0.500 0.500
Pd1 0.000 0.000 0.500
I1 0.000 0.500 0.000
I2 0.500 0.000 0.000
# **Formation energy (no corrections)**: 0.752 eV per atom
# **Space group**: No. 123
# **E**: -3.36 eV/atom
# **Magnetic moment**: 0.82 μB/atom

***

# Li2TcPdI | the Alexandria database | GGA-PBE | relaxed
data_Li2TcPdI
_cell_length_a 4.863
_cell_length_b 4.863
_cell_length_c 5.253
_cell_angle_alpha 90.00
_cell_angle_beta 90.00
_cell_angle_gamma 90.00
_symmetry_space_group_name_H-M 'P 1'
_symmetry_Int_Tables_number 1
loop_
_symmetry_equiv_pos_as_xyz
'x,y,z'
loop_
_atom_site_label
_atom_site_fract_x
_atom_site_fract_y
_atom_site_fract_z
Li1 0.000 0.500 0.000
Li2 0.500 0.000 0.000
Tc1 0.000 0.000 0.500
Pd1 0.500 0.500 0.500
I1 0.500 0.500 0.000
# **Formation energy (no corrections)**: 0.833 eV per atom
# **Space group**: No. 123
# **E**: -3.35 eV/atom
# **Magnetic moment**: 0.80 μB/atom